1.
! LaHoCoI | Alexandria | PBE | relaxed; values from VASP
&SYSTEM
  ibrav = 0, nat = 12, ntyp = 4
/
ATOMIC_SPECIES
La 138.91 La.upf
Ho 164.93 Ho.upf
Co 58.93 Co.upf
I 126.90 I.upf
ATOMIC_POSITIONS crystal
La 0.0000 0.0000 0.0000
La 0.3333 0.6667 0.6667
La 0.6667 0.3333 0.3333
Ho 0.0000 0.0000 0.2138
Ho 0.3333 0.6667 0.8804
Ho 0.6667 0.3333 0.5471
Co 0.0000 0.0000 0.6064
Co 0.3333 0.6667 0.2731
Co 0.6667 0.3333 0.9398
I 0.0000 0.0000 0.7799
I 0.3333 0.6667 0.4466
I 0.6667 0.3333 0.1133
CELL_PARAMETERS angstrom
4.0040 0.0000 0.0000
-2.0020 3.4675 0.0000
0.0000 0.0000 24.2985
! **Density of states at the Fermi level**: 1.0 states/eV/f.u.
! **Total magnetization**: 0.00 μB/f.u.
! **Formation energy without anion corrections**: -2.477 eV per formula unit
! **Raw total energy**: -20.639 eV per formula unit
! **Space group**: R3m, No. 160

2.
! NdHoCoI | Alexandria | PBE | relaxed; values from VASP
&SYSTEM
  ibrav = 0, nat = 12, ntyp = 4
/
ATOMIC_SPECIES
Nd 144.24 Nd.upf
Ho 164.93 Ho.upf
Co 58.93 Co.upf
I 126.90 I.upf
ATOMIC_POSITIONS crystal
Nd 0.0000 0.0000 0.0000
Nd 0.3333 0.6667 0.6667
Nd 0.6667 0.3333 0.3333
Ho 0.0000 0.0000 0.2134
Ho 0.3333 0.6667 0.8801
Ho 0.6667 0.3333 0.5467
Co 0.0000 0.0000 0.6047
Co 0.3333 0.6667 0.2713
Co 0.6667 0.3333 0.9380
I 0.0000 0.0000 0.7772
I 0.3333 0.6667 0.4438
I 0.6667 0.3333 0.1105
CELL_PARAMETERS angstrom
3.9881 0.0000 0.0000
-1.9941 3.4538 0.0000
0.0000 0.0000 24.0194
! **Density of states at the Fermi level**: 0.8 states/eV/f.u.
! **Total magnetization**: 0.00 μB/f.u.
! **Formation energy without anion corrections**: -2.254 eV per formula unit
! **Raw total energy**: -20.256 eV per formula unit
! **Space group**: R3m, No. 160

3.
! SmHoCoI | Alexandria | PBE | relaxed; values from VASP
&SYSTEM
  ibrav = 0, nat = 12, ntyp = 4
/
ATOMIC_SPECIES
Sm 150.36 Sm.upf
Ho 164.93 Ho.upf
Co 58.93 Co.upf
I 126.90 I.upf
ATOMIC_POSITIONS crystal
Sm 0.0000 0.0000 0.0000
Sm 0.3333 0.6667 0.6667
Sm 0.6667 0.3333 0.3333
Ho 0.0000 0.0000 0.2139
Ho 0.3333 0.6667 0.8806
Ho 0.6667 0.3333 0.5473
Co 0.0000 0.0000 0.6056
Co 0.3333 0.6667 0.2723
Co 0.6667 0.3333 0.9389
I 0.0000 0.0000 0.7765
I 0.3333 0.6667 0.4432
I 0.6667 0.3333 0.1098
CELL_PARAMETERS angstrom
3.9711 0.0000 0.0000
-1.9855 3.4390 0.0000
0.0000 0.0000 23.8390
! **Density of states at the Fermi level**: 0.7 states/eV/f.u.
! **Total magnetization**: 0.00 μB/f.u.
! **Formation energy without anion corrections**: -2.268 eV per formula unit
! **Raw total energy**: -20.221 eV per formula unit
! **Space group**: R3m, No. 160

4.
! TbHoCoI | Alexandria | PBE | relaxed; values from VASP
&SYSTEM
  ibrav = 0, nat = 12, ntyp = 4
/
ATOMIC_SPECIES
Tb 158.93 Tb.upf
Ho 164.93 Ho.upf
Co 58.93 Co.upf
I 126.90 I.upf
ATOMIC_POSITIONS crystal
Tb 0.0000 0.0000 0.0000
Tb 0.3333 0.6667 0.6667
Tb 0.6667 0.3333 0.3333
Ho 0.0000 0.0000 0.2148
Ho 0.3333 0.6667 0.8814
Ho 0.6667 0.3333 0.5481
Co 0.0000 0.0000 0.6070
Co 0.3333 0.6667 0.2736
Co 0.6667 0.3333 0.9403
I 0.0000 0.0000 0.7757
I 0.3333 0.6667 0.4424
I 0.6667 0.3333 0.1091
CELL_PARAMETERS angstrom
3.9498 0.0000 0.0000
-1.9749 3.4207 0.0000
0.0000 0.0000 23.6008
! **Density of states at the Fermi level**: 0.6 states/eV/f.u.
! **Total magnetization**: 0.00 μB/f.u.
! **Formation energy without anion corrections**: -2.280 eV per formula unit
! **Raw total energy**: -20.144 eV per formula unit
! **Space group**: R3m, No. 160

5.
! HoThCoI | Alexandria | PBE | relaxed; values from VASP
&SYSTEM
  ibrav = 0, nat = 8, ntyp = 4
/
ATOMIC_SPECIES
Ho 164.93 Ho.upf
Th 232.04 Th.upf
Co 58.93 Co.upf
I 126.90 I.upf
ATOMIC_POSITIONS crystal
Ho 0.0000 0.0000 0.0000
Ho 0.5000 0.5000 0.0000
Th 0.2194 0.0000 0.6544
Th 0.7194 0.5000 0.6544
Co 0.1051 0.5000 0.8150
Co 0.6051 0.0000 0.8150
I 0.2718 0.5000 0.3146
I 0.7718 0.0000 0.3146
CELL_PARAMETERS angstrom
6.9519 0.0000 0.0000
0.0000 4.0299 0.0000
-2.3264 0.0000 8.0376
! **Density of states at the Fermi level**: 2.6 states/eV/f.u.
! **Total magnetization**: 0.00 μB/f.u.
! **Formation energy without anion corrections**: -2.388 eV per formula unit
! **Raw total energy**: -23.042 eV per formula unit
! **Space group**: Cm, No. 8

6.
! Ho4InCo | Alexandria | PBE | relaxed; values from VASP
&SYSTEM
  ibrav = 0, nat = 12, ntyp = 3
/
ATOMIC_SPECIES
Ho 164.93 Ho.upf
In 114.82 In.upf
Co 58.93 Co.upf
ATOMIC_POSITIONS crystal
Ho 0.1396 0.6261 0.3850
Ho 0.2128 0.7872 0.0000
Ho 0.3216 0.3216 0.8253
Ho 0.3739 0.8604 0.6150
Ho 0.6261 0.1396 0.3850
Ho 0.6784 0.6784 0.1747
Ho 0.7872 0.2128 0.0000
Ho 0.8604 0.3739 0.6150
In 0.1962 0.1962 0.1972
In 0.8038 0.8038 0.8028
Co 0.4999 0.4999 0.2679
Co 0.5001 0.5001 0.7321
CELL_PARAMETERS angstrom
8.0572 -3.5787 0.0000
8.0572 3.5787 0.0000
-2.0222 0.0000 5.3774
! **Density of states at the Fermi level**: 4.5 states/eV/f.u.
! **Total magnetization**: 0.00 μB/f.u.
! **Energy of formation**: -284 meV per atom
! **Raw total energy**: -29.860 eV per formula unit
! **Space group**: C2/m, No. 12

7.
! Ho2InCo | Alexandria | PBE | relaxed; values from VASP
&SYSTEM
  ibrav = 0, nat = 12, ntyp = 3
/
ATOMIC_SPECIES
Ho 164.93 Ho.upf
In 114.82 In.upf
Co 58.93 Co.upf
ATOMIC_POSITIONS crystal
Ho 0.0000 0.0000 0.2305
Ho 0.0000 0.0000 0.7695
Ho 0.3333 0.6667 0.4362
Ho 0.3333 0.6667 0.8971
Ho 0.6667 0.3333 0.1029
Ho 0.6667 0.3333 0.5638
In 0.0000 0.0000 0.0000
In 0.3333 0.6667 0.6667
In 0.6667 0.3333 0.3333
Co 0.0000 0.0000 0.5000
Co 0.3333 0.6667 0.1667
Co 0.6667 0.3333 0.8333
CELL_PARAMETERS angstrom
3.6573 0.0000 0.0000
-1.8286 3.1673 0.0000
0.0000 0.0000 25.4016
! **Density of states at the Fermi level**: 2.5 states/eV/f.u.
! **Total magnetization**: 0.00 μB/f.u.
! **Energy of formation**: -183 meV per atom
! **Raw total energy**: -19.734 eV per formula unit
! **Space group**: R-3m, No. 166

8.
! HoInCo | Alexandria | PBE | relaxed; values from VASP
&SYSTEM
  ibrav = 0, nat = 18, ntyp = 3
/
ATOMIC_SPECIES
Ho 164.93 Ho.upf
In 114.82 In.upf
Co 58.93 Co.upf
ATOMIC_POSITIONS crystal
Ho 0.0450 0.0000 0.2296
Ho 0.2500 0.0000 0.8561
Ho 0.4550 0.0000 0.2296
Ho 0.5450 0.0000 0.7704
Ho 0.7500 0.0000 0.1439
Ho 0.9550 0.0000 0.7704
In 0.1221 0.5000 0.5754
In 0.2500 0.5000 0.1937
In 0.3779 0.5000 0.5754
In 0.6221 0.5000 0.4246
In 0.7500 0.5000 0.8063
In 0.8779 0.5000 0.4246
Co 0.0859 0.5000 0.9483
Co 0.2500 0.0000 0.4445
Co 0.4141 0.5000 0.9483
Co 0.5859 0.5000 0.0517
Co 0.7500 0.0000 0.5555
Co 0.9141 0.5000 0.0517
CELL_PARAMETERS angstrom
12.3830 0.0000 0.0000
0.0000 3.9184 0.0000
0.0000 0.0000 7.4447
! **Density of states at the Fermi level**: 1.9 states/eV/f.u.
! **Total magnetization**: 0.09 μB/f.u.
! **Energy of formation**: -331 meV per atom
! **Raw total energy**: -15.416 eV per formula unit
! **Space group**: Pmma, No. 51

9.
! Ho6In3Co | Alexandria | PBE | relaxed; values from VASP
&SYSTEM
  ibrav = 0, nat = 20, ntyp = 3
/
ATOMIC_SPECIES
Ho 164.93 Ho.upf
In 114.82 In.upf
Co 58.93 Co.upf
ATOMIC_POSITIONS crystal
Ho 0.0441 0.2500 0.4184
Ho 0.1965 0.7500 0.1658
Ho 0.2846 0.2500 0.0051
Ho 0.3502 0.7500 0.8326
Ho 0.3738 0.2500 0.3457
Ho 0.3948 0.2500 0.6533
Ho 0.6052 0.7500 0.3467
Ho 0.6262 0.7500 0.6543
Ho 0.6498 0.2500 0.1674
Ho 0.7154 0.7500 0.9949
Ho 0.8035 0.2500 0.8342
Ho 0.9559 0.7500 0.5816
In 0.0097 0.7500 0.8789
In 0.0921 0.2500 0.7211
In 0.2749 0.7500 0.4771
In 0.7251 0.2500 0.5229
In 0.9079 0.7500 0.2789
In 0.9903 0.2500 0.1211
Co 0.4628 0.7500 0.0918
Co 0.5372 0.2500 0.9082
CELL_PARAMETERS angstrom
9.1533 0.0000 0.0000
0.0000 5.2425 0.0000
-3.5702 0.0000 10.7329
! **Density of states at the Fermi level**: 8.5 states/eV/f.u.
! **Total magnetization**: 0.55 μB/f.u.
! **Energy of formation**: -296 meV per atom
! **Raw total energy**: -45.743 eV per formula unit
! **Space group**: P2_1/m, No. 11

10.
! HoInCo2 | Alexandria | PBE | relaxed; values from VASP
&SYSTEM
  ibrav = 0, nat = 8, ntyp = 3
/
ATOMIC_SPECIES
Ho 164.93 Ho.upf
In 114.82 In.upf
Co 58.93 Co.upf
ATOMIC_POSITIONS crystal
Ho 0.2500 0.0000 0.2233
Ho 0.7500 0.0000 0.7767
In 0.2500 0.5000 0.8525
In 0.7500 0.5000 0.1475
Co 0.0000 0.5000 0.5000
Co 0.2500 0.0000 0.5918
Co 0.5000 0.5000 0.5000
Co 0.7500 0.0000 0.4082
CELL_PARAMETERS angstrom
5.0238 0.0000 0.0000
0.0000 3.9865 0.0000
0.0000 0.0000 7.1396
! **Density of states at the Fermi level**: 5.4 states/eV/f.u.
! **Total magnetization**: 2.27 μB/f.u.
! **Energy of formation**: -257 meV per atom
! **Raw total energy**: -22.556 eV per formula unit
! **Space group**: Pmma, No. 51

11.
! Ho5InCo | Alexandria | PBE | relaxed; values from VASP
&SYSTEM
  ibrav = 0, nat = 14, ntyp = 3
/
ATOMIC_SPECIES
Ho 164.93 Ho.upf
In 114.82 In.upf
Co 58.93 Co.upf
ATOMIC_POSITIONS crystal
Ho 0.0198 0.9802 0.7500
Ho 0.0270 0.4007 0.6364
Ho 0.1991 0.5578 0.9550
Ho 0.4007 0.0270 0.1364
Ho 0.4422 0.8009 0.5450
Ho 0.5578 0.1991 0.4550
Ho 0.5993 0.9730 0.8636
Ho 0.8009 0.4422 0.0450
Ho 0.9730 0.5993 0.3636
Ho 0.9802 0.0198 0.2500
In 0.4709 0.5291 0.2500
In 0.5291 0.4709 0.7500
Co 0.0000 0.0000 0.0000
Co 0.0000 0.0000 0.5000
CELL_PARAMETERS angstrom
5.4679 -3.3802 0.0000
5.4679 3.3802 0.0000
-3.9501 0.0000 10.4408
! **Density of states at the Fermi level**: 7.4 states/eV/f.u.
! **Total magnetization**: 0.00 μB/f.u.
! **Energy of formation**: -98 meV per atom
! **Raw total energy**: -33.419 eV per formula unit
! **Space group**: C2/c, No. 15